[1]
The following is a meta-GGA SCAN calculation of a crystal of HgAsIr3 relaxed with PBEsol, from Alexandria via LeMat-Bulk.

a = 4.527 Å, b = 4.527 Å, c = 4.527 Å
α = 90.00°, β = 90.00°, γ = 90.00°
Positions (direct):
As1 0.000 0.000 0.000
Ir1 0.000 0.500 0.000
Ir2 0.000 0.000 0.500
Ir3 0.500 0.000 0.000
Hg1 0.500 0.500 0.500

Results
energy = -59.2130 eV/atom
DFT formation energy = 1.118 eV per atom
total magnetic moment = 0.00 Bohr magnetons per cell

[2]
The following is a meta-GGA SCAN calculation of a crystal of La2Er3Ge3 relaxed with PBEsol, from Alexandria via LeMat-Bulk.

a = 6.422 Å, b = 8.604 Å, c = 8.604 Å
α = 120.00°, β = 90.00°, γ = 90.00°
Positions (direct):
La1 0.500 0.667 0.333
La2 0.500 0.333 0.667
La3 0.000 0.333 0.667
La4 0.000 0.667 0.333
Er1 0.750 0.238 0.238
Er2 0.750 0.000 0.762
Er3 0.750 0.762 0.000
Er4 0.250 0.762 0.762
Er5 0.250 0.000 0.238
Er6 0.250 0.238 0.000
Ge1 0.750 0.617 0.617
Ge2 0.750 0.000 0.383
Ge3 0.750 0.383 0.000
Ge4 0.250 0.383 0.383
Ge5 0.250 0.000 0.617
Ge6 0.250 0.617 0.000

Results
energy = -37.5759 eV/atom
DFT formation energy = -0.764 eV per atom
total magnetic moment = 0.00 Bohr magnetons per cell

[3]
The following is a meta-GGA SCAN calculation of a crystal of CaYRu4 relaxed with PBEsol, from Alexandria via LeMat-Bulk.

a = 5.257 Å, b = 5.257 Å, c = 5.257 Å
α = 60.00°, β = 60.00°, γ = 60.00°
Positions (direct):
Ca1 0.000 0.000 0.000
Ru1 0.375 0.375 0.375
Ru2 0.375 0.375 0.875
Ru3 0.875 0.375 0.375
Ru4 0.375 0.875 0.375
Y1 0.750 0.750 0.750

Results
energy = -29.5949 eV/atom
DFT formation energy = -0.126 eV per atom
total magnetic moment = 0.01 Bohr magnetons per cell

[4]
The following is a meta-GGA SCAN calculation of a crystal of Zr2WNF relaxed with PBEsol, from Alexandria via LeMat-Bulk.

a = 3.843 Å, b = 5.153 Å, c = 5.153 Å
α = 90.00°, β = 90.00°, γ = 90.00°
Positions (direct):
N1 0.500 0.000 0.000
Zr1 0.000 0.000 0.500
Zr2 0.000 0.500 0.000
W1 0.000 0.000 0.000
F1 0.500 0.500 0.500

Results
energy = -28.4490 eV/atom
total magnetic moment = 2.42 Bohr magnetons per cell

[5]
The following is a meta-GGA SCAN calculation of a crystal of Si2TcSe relaxed with PBEsol, from Alexandria via LeMat-Bulk.

a = 3.090 Å, b = 4.486 Å, c = 4.668 Å
α = 96.39°, β = 90.00°, γ = 110.15°
Positions (direct):
Se1 0.500 0.000 0.000
Si1 0.728 0.456 0.703
Si2 0.272 0.544 0.297
Tc1 0.000 0.000 0.500

Results
energy = -18.5205 eV/atom
total magnetic moment = 0.00 Bohr magnetons per cell

[6]
The following is a meta-GGA SCAN calculation of a crystal of SrTe2As2 relaxed with PBEsol, from Alexandria via LeMat-Bulk.

a = 3.996 Å, b = 3.996 Å, c = 8.979 Å
α = 102.86°, β = 102.86°, γ = 90.00°
Positions (direct):
Sr1 0.000 0.000 0.000
As1 0.250 0.750 0.500
As2 0.750 0.250 0.500
Te1 0.397 0.397 0.794
Te2 0.603 0.603 0.206

Results
energy = -27.7419 eV/atom
total magnetic moment = 0.00 Bohr magnetons per cell

[7]
The following is a meta-GGA SCAN calculation of a crystal of LaSbW2 relaxed with PBEsol, from Alexandria via LeMat-Bulk.

a = 2.913 Å, b = 5.517 Å, c = 5.517 Å
α = 113.28°, β = 90.00°, γ = 90.00°
Positions (direct):
La1 0.500 0.000 0.000
Sb1 0.500 0.500 0.500
W1 0.000 0.500 0.000
W2 0.000 0.000 0.500

Results
energy = -53.8476 eV/atom
total magnetic moment = 0.00 Bohr magnetons per cell

[8]
The following is a meta-GGA SCAN calculation of a crystal of LaCdCu2I relaxed with PBEsol, from Alexandria via LeMat-Bulk.

a = 4.801 Å, b = 4.801 Å, c = 5.889 Å
α = 90.00°, β = 90.00°, γ = 90.00°
Positions (direct):
I1 0.500 0.500 0.500
Cd1 0.000 0.000 0.000
Cu1 0.000 0.500 0.000
Cu2 0.500 0.000 0.000
La1 0.000 0.000 0.500

Results
energy = -27.9682 eV/atom
total magnetic moment = 0.00 Bohr magnetons per cell

[9]
The following is a meta-GGA SCAN calculation of a crystal of Fe2SiHg relaxed with PBEsol, from Alexandria via LeMat-Bulk.

a = 4.195 Å, b = 4.195 Å, c = 4.195 Å
α = 60.00°, β = 60.00°, γ = 60.00°
Positions (direct):
Si1 0.000 0.000 0.000
Hg1 0.500 0.500 0.500
Fe1 0.250 0.250 0.250
Fe2 0.750 0.750 0.750

Results
energy = -28.1724 eV/atom
total magnetic moment = 4.58 Bohr magnetons per cell

[10]
The following is a meta-GGA SCAN calculation of a crystal of IrWCl2 relaxed with PBEsol, from Alexandria via LeMat-Bulk.

a = 2.862 Å, b = 2.862 Å, c = 9.636 Å
α = 81.46°, β = 81.46°, γ = 60.00°
Positions (direct):
Ir1 0.500 0.500 0.500
W1 0.000 0.000 0.000
Cl1 0.270 0.270 0.191
Cl2 0.730 0.730 0.809

Results
energy = -38.5624 eV/atom
total magnetic moment = 1.07 Bohr magnetons per cell

[11]
The following is a meta-GGA SCAN calculation of a crystal of La2YSe relaxed with PBEsol, from Alexandria via LeMat-Bulk.

a = 3.661 Å, b = 5.493 Å, c = 5.493 Å
α = 90.00°, β = 90.00°, γ = 90.00°
Positions (direct):
La1 0.000 0.000 0.500
La2 0.000 0.500 0.000
Se1 0.500 0.500 0.500
Y1 0.500 0.000 0.000

Results
energy = -34.1618 eV/atom
total magnetic moment = 0.00 Bohr magnetons per cell

[12]
The following is a meta-GGA SCAN calculation of a crystal of CaEu2WO6 relaxed with PBEsol, from Alexandria via LeMat-Bulk.

a = 5.803 Å, b = 5.803 Å, c = 5.803 Å
α = 60.00°, β = 60.00°, γ = 60.00°
Positions (direct):
Eu1 0.250 0.250 0.250
Eu2 0.750 0.750 0.750
Ca1 0.500 0.500 0.500
O1 0.234 0.766 0.234
O2 0.234 0.234 0.766
O3 0.766 0.766 0.234
O4 0.234 0.766 0.766
O5 0.766 0.234 0.766
O6 0.766 0.234 0.234
W1 0.000 0.000 0.000

Results
energy = -25.3242 eV/atom
total magnetic moment = 14.00 Bohr magnetons per cell

Copy entry 10 word for word.
The following is a meta-GGA SCAN calculation of a crystal of IrWCl2 relaxed with PBEsol, from Alexandria via LeMat-Bulk.

a = 2.862 Å, b = 2.862 Å, c = 9.636 Å
α = 81.46°, β = 81.46°, γ = 60.00°
Positions (direct):
Ir1 0.500 0.500 0.500
W1 0.000 0.000 0.000
Cl1 0.270 0.270 0.191
Cl2 0.730 0.730 0.809

Results
energy = -38.5624 eV/atom
total magnetic moment = 1.07 Bohr magnetons per cell

Which value of energy does entry 3 give?
-29.5949 eV/atom

What is the formula in the fifth record?
Si2TcSe